Density functional theory data (PBE) for a relaxed structure of HfAl2S4.

The calculation puts the calculated density at 3.67 g cm⁻³. The calculation puts the formation energy from raw total energies at -0.77 eV/atom.

It has space group I4/m (No. 87), with a = 7.2724 Å, b = 7.2724 Å, c = 6.1770 Å, α = 90.00°, β = 90.00° and γ = 90.00°. The inequivalent atoms are Hf at (0.0000, 0.0000, 0.0000), Al at (0.0000, 0.5000, 0.2500) and S at (0.1511, 0.6778, 0.0000).